(1)
Computed, not measured: crystalline K2UAuSe5 at its relaxed geometry at the GGA-PBE level of DFT.

a = 10.0559 Å, b = 10.0559 Å, c = 13.6982 Å
α = 90.00°, β = 90.00°, γ = 156.31°
Closest atoms and distances in Å follow each position.
Sites, in units of the cell vectors:
K1 0.1207 0.8793 0.5000  7 Se 3.29-3.62
K2 0.1218 0.8782 0.8559  7 Se 3.32-3.66
K3 0.8782 0.1218 0.3559  7 Se 3.32-3.66
K4 0.8793 0.1207 0.0000  7 Se 3.29-3.62
U1 0.1968 0.8032 0.1780  6 Se 2.59-2.78
U2 0.8032 0.1968 0.6780  6 Se 2.59-2.78
Au1 0.4362 0.5638 0.5858  3 Se 2.46-2.59
Au2 0.5638 0.4362 0.0858  3 Se 2.46-2.59
Se1 0.0592 0.9408 0.1995  2 Au 2.59, 1 U 2.72
Se2 0.2974 0.7026 0.5429  2 U 2.78, 1 Au 2.80
Se3 0.3052 0.6948 0.8105  2 U 2.75
Se4 0.3286 0.6714 0.1795  1 U 2.59
Se5 0.4996 0.5004 0.4312  1 Au 2.46
Se6 0.5004 0.4996 0.9312  1 Au 2.46
Se7 0.6714 0.3286 0.6795  1 U 2.59
Se8 0.6948 0.3052 0.3105  2 U 2.75
Se9 0.7026 0.2974 0.0429  2 U 2.78, 1 Au 2.80
Se10 0.9408 0.0592 0.6995  2 Au 2.59, 1 U 2.72

* uncorrected formation energy: -0.831 eV/atom
* VASP energy: -83.317 eV per cell
* symmetry: Cmc2_1, No. 36
* size of the total moment: 0.012 μB/atom

(2)
Computed, not measured: crystalline Sm2YOsN4 at its relaxed geometry at the GGA-PBE level of DFT.

a = 6.1535 Å, b = 6.1535 Å, c = 11.9912 Å
α = 90.00°, β = 90.00°, γ = 147.64°
Closest atoms and distances in Å follow each position.
Sites, in units of the cell vectors:
Sm1 0.1320 0.8680 0.5412  6 N 2.37-2.65
Sm2 0.1320 0.8680 0.9588  6 N 2.37-2.65
Sm3 0.8680 0.1320 0.0412  6 N 2.37-2.65
Sm4 0.8680 0.1320 0.4588  6 N 2.37-2.65
Y1 0.3704 0.6296 0.7500  4 N 2.48
Y2 0.6296 0.3704 0.2500  4 N 2.48
Os1 0.3604 0.6396 0.2500  4 N 1.97-2.07
Os2 0.6396 0.3604 0.7500  4 N 1.97-2.07
N1 0.0582 0.9418 0.7500  2 Os 1.97
N2 0.2284 0.7716 0.1364  1 Os 2.07
N3 0.2284 0.7716 0.3636  1 Os 2.07
N4 0.5000 0.5000 0.0000  4 Sm 2.37
N5 0.5000 0.5000 0.5000  4 Sm 2.37
N6 0.7716 0.2284 0.6364  1 Os 2.07
N7 0.7716 0.2284 0.8636  1 Os 2.07
N8 0.9418 0.0582 0.2500  2 Os 1.97

* uncorrected formation energy: -0.840 eV/atom
* VASP energy: -134.302 eV per cell
* symmetry: Cmcm, No. 63
* size of the total moment: 0.000 μB/atom

(3)
Computed, not measured: crystalline YIn2Sn4 at its relaxed geometry at the GGA-PBE level of DFT.

a = 8.5111 Å, b = 8.5111 Å, c = 8.5111 Å
α = 140.06°, β = 140.06°, γ = 57.76°
Closest atoms and distances in Å follow each position.
Sites, in units of the cell vectors:
Y1 0.0000 0.0000 0.0000  6 Sn 2.91-2.99
In1 0.3944 0.3944 0.0000  1 Sn 2.89, 1 In 3.15
In2 0.6056 0.6056 0.0000  1 Sn 2.89, 1 In 3.15
Sn1 0.0000 0.5000 0.5000  2 Y 2.91
Sn2 0.2006 0.2006 0.0000  1 In 2.89, 1 Y 2.99
Sn3 0.5000 0.0000 0.5000  2 Y 2.91
Sn4 0.7994 0.7994 0.0000  1 In 2.89, 1 Y 2.99

* E_form: 0.31 eV per atom
* VASP energy: -25.815 eV per cell
* symmetry: I4/mmm, No. 139
* size of the total moment: 0.000 μB/atom

(4)
Computed, not measured: crystalline HgPd3Pt3 at its relaxed geometry at the GGA-PBE level of DFT.

a = 7.4825 Å, b = 7.4825 Å, c = 4.6855 Å
α = 90.00°, β = 90.00°, γ = 120.00°
Closest atoms and distances in Å follow each position.
Sites, in units of the cell vectors:
Hg1 0.3333 0.6667 0.2500  9 Pd 2.80-2.88, 3 Pt 2.89
Hg2 0.6667 0.3333 0.7500  9 Pd 2.80-2.88, 3 Pt 2.89
Pd1 0.0906 0.6208 0.7500  5 Pt 2.74-2.85, 3 Hg 2.80-2.88, 4 Pd 2.85-2.90
Pd2 0.3792 0.4697 0.7500  5 Pt 2.74-2.85, 3 Hg 2.80-2.88, 4 Pd 2.85-2.90
Pd3 0.4697 0.0906 0.2500  5 Pt 2.74-2.85, 3 Hg 2.80-2.88, 4 Pd 2.85-2.90
Pd4 0.5303 0.9094 0.7500  5 Pt 2.74-2.85, 3 Hg 2.80-2.88, 4 Pd 2.85-2.90
Pd5 0.6208 0.5303 0.2500  5 Pt 2.74-2.85, 3 Hg 2.80-2.88, 4 Pd 2.85-2.90
Pd6 0.9094 0.3792 0.2500  5 Pt 2.74-2.85, 3 Hg 2.80-2.88, 4 Pd 2.85-2.90
Pt1 0.0369 0.8068 0.2500  5 Pd 2.74-2.85, 6 Pt 2.77-2.84, 1 Hg 2.89
Pt2 0.1932 0.2301 0.2500  5 Pd 2.74-2.85, 6 Pt 2.77-2.84, 1 Hg 2.89
Pt3 0.2301 0.0369 0.7500  5 Pd 2.74-2.85, 6 Pt 2.77-2.84, 1 Hg 2.89
Pt4 0.7699 0.9631 0.2500  5 Pd 2.74-2.85, 6 Pt 2.77-2.84, 1 Hg 2.89
Pt5 0.8068 0.7699 0.7500  5 Pd 2.74-2.85, 6 Pt 2.77-2.84, 1 Hg 2.89
Pt6 0.9631 0.1932 0.7500  5 Pd 2.74-2.85, 6 Pt 2.77-2.84, 1 Hg 2.89

* E_form: -0.03 eV per atom
* VASP energy: -68.364 eV per cell
* symmetry: P6_3/m, No. 176
* size of the total moment: 0.000 μB/atom

(5)
Computed, not measured: crystalline Sr6SeBr3N2 at its relaxed geometry at the GGA-PBE level of DFT.

a = 7.1596 Å, b = 7.1596 Å, c = 7.7882 Å
α = 98.90°, β = 98.90°, γ = 119.94°
Closest atoms and distances in Å follow each position.
Sites, in units of the cell vectors:
Sr1 0.0642 0.4353 0.8059  2 N 2.68-2.69
Sr2 0.1944 0.1944 0.1922  2 N 2.68
Sr3 0.4353 0.0642 0.8059  2 N 2.68-2.69
Sr4 0.5647 0.9358 0.1941  2 N 2.68-2.69
Sr5 0.8056 0.8056 0.8078  2 N 2.68
Sr6 0.9358 0.5647 0.1941  2 N 2.68-2.69
Se1 0.5000 0.5000 0.0000  6 Sr 3.01-3.02
Br1 0.0000 0.0000 0.5000  6 Sr 3.12-3.40
Br2 0.3412 0.6588 0.5000  6 Sr 3.16-3.41
Br3 0.6588 0.3412 0.5000  6 Sr 3.16-3.41
N1 0.1671 0.8329 0.0000  6 Sr 2.68-2.69
N2 0.8329 0.1671 0.0000  6 Sr 2.68-2.69

* uncorrected formation energy: -1.409 eV/atom
* VASP energy: -52.153 eV per cell
* symmetry: C2/m, No. 12
* size of the total moment: 0.000 μB/atom

(6)
Computed, not measured: crystalline Rb3SbO at its relaxed geometry at the GGA-PBE level of DFT.

a = 5.6997 Å, b = 5.6997 Å, c = 5.6997 Å
α = 90.00°, β = 90.00°, γ = 90.00°
Closest atoms and distances in Å follow each position.
Sites, in units of the cell vectors:
Rb1 0.0000 0.0000 0.5000  2 O 2.85
Rb2 0.0000 0.5000 0.0000  2 O 2.85
Rb3 0.5000 0.0000 0.0000  2 O 2.85
Sb1 0.5000 0.5000 0.5000  12 Rb 4.03
O1 0.0000 0.0000 0.0000  6 Rb 2.85

* ΔE to the lowest computed polymorph: 0.115 eV per atom
* uncorrected formation energy: -0.503 eV/atom
* VASP energy: -14.501 eV per cell
* symmetry: Pm-3m, No. 221
* size of the total moment: 0.400 μB/atom

Question: The lowest VASP energy belongs to which entry?
Answer: Sm2YOsN4

Question: Among the records above, which one has the highest VASP energy?
Answer: Rb3SbO